# Tl2SnSe2

A relaxed Tl2SnSe2 crystal (PBE-GGA, Alexandria via LeMat-Bulk).

abc: 8.1489 8.1489 4.4571
angles: 90.00 90.00 90.00
Closest atoms and distances in Å follow each position.
Positions (direct):
Tl 0.1406 0.3594 0.0000  6 Se 3.08-3.41, 1 Tl 3.24
Tl 0.3594 0.8594 0.0000  6 Se 3.08-3.41, 1 Tl 3.24
Tl 0.6406 0.1406 0.0000  6 Se 3.08-3.41, 1 Tl 3.24
Tl 0.8594 0.6406 0.0000  6 Se 3.08-3.41, 1 Tl 3.24
Sn 0.0000 0.0000 0.5000  4 Se 3.01
Sn 0.5000 0.5000 0.5000  4 Se 3.01
Se 0.1748 0.6748 0.5000  2 Sn 3.01, 2 Tl 3.08
Se 0.3252 0.1748 0.5000  2 Sn 3.01, 2 Tl 3.08
Se 0.6748 0.8252 0.5000  2 Sn 3.01, 2 Tl 3.08
Se 0.8252 0.3252 0.5000  2 Sn 3.01, 2 Tl 3.08

Output
SG ... P4/mbm, No. 127
Energy above the most stable polymorph in this dataset ... 181 meV/atom
Energy relative to the elements, uncorrected ... -4.71 kcal/mol of atoms
Magnetic moment ... 0.00 μB per cell
Uncorrected energy ... -3.35 eV per atom